Compound: LiAlBi
Source: Alexandria via LeMat-Bulk
Functional: GGA-PBE
Structure: optimized geometry

Cell lengths 4.9488, 4.9488, 6.3217 Å; angles 90.00, 90.00, 90.00 degrees
With the nearest neighbours (Å) after each atom.
Element x y z (fractional)
Li 0.0000 0.5000 0.7778  1 Bi 2.97, 4 Al 3.03
Li 0.5000 0.0000 0.2222  1 Bi 2.97, 4 Al 3.03
Al 0.5000 0.5000 0.5000  4 Bi 2.94, 4 Li 3.03
Al 0.0000 0.0000 0.5000  4 Bi 2.94, 4 Li 3.03
Bi 0.0000 0.5000 0.2477  4 Al 2.94, 1 Li 2.97
Bi 0.5000 0.0000 0.7523  4 Al 2.94, 1 Li 2.97

Calculated values
crystal system = tetragonal
DFT formation energy = -0.03 eV per atom
SG = P4/nmm
magnetization = 0.00 μB per cell
ΔE to the lowest computed polymorph = 0.0 kJ/mol of formula units